! Tl2SnSb (PBE, relaxed); values from VASP
! * calculated total energy: -12.6 eV for the cell shown
! * calculated volume: 33.05 Å³/atom
! * formation energy from raw total energies: 0.057 eV per atom
! * offset from the most stable computed form: 0.013 eV per atom
! * space group: Cm
! * DOS at the Fermi energy: 1.5 states/eV/f.u.
&SYSTEM
  ibrav = 0, nat = 4, ntyp = 3
/
ATOMIC_SPECIES
Sn 118.71 Sn.upf
Sb 121.76 Sb.upf
Tl 204.38 Tl.upf
ATOMIC_POSITIONS crystal
Sn 0.096 0.883 0.925
Sb 0.509 0.248 0.734
Tl 0.649 0.520 0.181
Tl 0.955 0.611 0.478
CELL_PARAMETERS angstrom
5.472 0.000 0.000
2.736 3.826 0.119
2.736 1.406 6.357


! KPt (PBE, relaxed); values from VASP
! * calculated total energy: -6.7 eV for the cell shown
! * calculated volume: 21.87 Å³/atom
! * formation enthalpy at 0 K: 204.5 meV/atom
! * space group: P4/mmm
! * DOS at the Fermi energy: 1.1 states/eV/f.u.
&SYSTEM
  ibrav = 0, nat = 2, ntyp = 2
/
ATOMIC_SPECIES
K 39.10 K.upf
Pt 195.08 Pt.upf
ATOMIC_POSITIONS crystal
K 0.000 0.000 0.000
Pt 0.500 0.500 0.500
CELL_PARAMETERS angstrom
-0.760 0.874 2.696
-2.832 -0.355 -0.683
0.213 -4.810 1.620


! Ho4Hg2N (PBE, relaxed); values from VASP
! * calculated total energy: -63.1 eV for the cell shown
! * calculated volume: 24.58 Å³/atom
! * formation energy from raw total energies: -0.615 eV per atom
! * offset from the most stable computed form: 0.119 eV per atom
! * space group: Pbam
! * DOS at the Fermi energy: 8.0 states/eV/f.u.
&SYSTEM
  ibrav = 0, nat = 14, ntyp = 3
/
ATOMIC_SPECIES
Hg 200.59 Hg.upf
N 14.01 N.upf
Ho 164.93 Ho.upf
ATOMIC_POSITIONS crystal
Hg 0.500 0.935 0.850
N 0.000 0.500 0.000
Hg 0.500 0.435 0.650
Ho 0.000 0.620 0.816
Ho 0.500 0.806 0.553
Ho 0.000 0.880 0.316
Ho 0.000 0.120 0.684
Ho 0.500 0.694 0.053
Ho 0.500 0.194 0.447
Ho 0.500 0.306 0.947
Hg 0.500 0.065 0.150
Hg 0.500 0.565 0.350
Ho 0.000 0.380 0.184
N 0.000 0.000 0.500
CELL_PARAMETERS angstrom
3.572 0.000 0.000
0.000 7.855 0.000
0.000 0.000 12.267


! Cs3Pm3PuSe8 (PBE, relaxed); values from VASP
! * calculated total energy: -83.6 eV for the cell shown
! * calculated volume: 36.59 Å³/atom
! * formation energy from raw total energies: -1.637 eV per atom
! * space group: R-3m
! * DOS at the Fermi energy: 12.1 states/eV/f.u.
&SYSTEM
  ibrav = 0, nat = 15, ntyp = 4
/
ATOMIC_SPECIES
Se 78.96 Se.upf
Pu 244.00 Pu.upf
Cs 132.91 Cs.upf
Pm 145.00 Pm.upf
ATOMIC_POSITIONS crystal
Se 0.261 0.039 0.318
Pu 0.000 0.000 0.500
Se 0.222 0.961 0.682
Se 0.739 0.961 0.682
Cs 0.000 0.000 0.000
Se 0.222 0.444 0.682
Pm 0.500 0.500 0.500
Cs 0.500 0.500 0.000
Se 0.778 0.039 0.318
Se 0.778 0.556 0.318
Pm 0.000 0.500 0.500
Se 0.730 0.459 0.689
Se 0.270 0.541 0.311
Pm 0.500 0.000 0.500
Cs 0.000 0.500 0.000
CELL_PARAMETERS angstrom
8.615 0.000 0.000
-4.307 7.461 -0.032
0.000 -4.941 8.559


Question: Which formula does entry 1 have?
Answer: Tl2SnSb


Question: Among the records above, which one has the lowest calculated total energy?
Answer: Cs3Pm3PuSe8


Question: Among the records above, which one has the highest DOS at the Fermi energy?
Answer: Cs3Pm3PuSe8